(1)
{"formula": "KNa4Ge", "functional": "PBE", "state": "optimized geometry", "energy_ev_per_cell": -21.99, "lattice_angstrom": [[6.837, 0.000, 0.000], [0.000, 6.406, 0.000], [0.000, 0.000, 9.091]], "species": ["K", "K", "Na", "Na", "Na", "Na", "Na", "Na", "Na", "Na", "Ge", "Ge"], "fractional_positions": [[0.000, 0.249, 0.000], [0.500, 0.751, 0.500], [0.000, 0.015, 0.625], [0.000, 0.737, 0.276], [0.250, 0.312, 0.376], [0.250, 0.688, 0.876], [0.500, 0.263, 0.776], [0.500, 0.985, 0.125], [0.750, 0.312, 0.376], [0.750, 0.688, 0.876], [0.000, 0.515, 0.619], [0.500, 0.485, 0.119]]}

(2)
{"formula": "Pm5Ga2Ni2", "functional": "PBE", "state": "optimized geometry", "energy_ev_per_cell": -88.89, "lattice_angstrom": [[7.638, -3.496, 0.000], [7.638, 3.496, 0.000], [0.000, 0.000, 8.508]], "species": ["Pm", "Pm", "Pm", "Pm", "Pm", "Pm", "Pm", "Pm", "Pm", "Pm", "Ga", "Ga", "Ga", "Ga", "Ni", "Ni", "Ni", "Ni"], "fractional_positions": [[0.000, 0.000, 0.000], [0.026, 0.713, 0.678], [0.213, 0.526, 0.178], [0.287, 0.974, 0.678], [0.474, 0.787, 0.178], [0.500, 0.500, 0.500], [0.526, 0.213, 0.822], [0.713, 0.026, 0.322], [0.787, 0.474, 0.822], [0.974, 0.287, 0.322], [0.207, 0.207, 0.000], [0.293, 0.293, 0.500], [0.707, 0.707, 0.500], [0.793, 0.793, 0.000], [0.118, 0.882, 0.394], [0.382, 0.618, 0.894], [0.618, 0.382, 0.106], [0.882, 0.118, 0.606]]}